First-principles (PBE-GGA) data for a relaxed KAlMoPb2 crystal, as listed in Alexandria via LeMat-Bulk.

* final energy: -4.4168 eV per atom
* volume: 147.03 Å³/f.u.
* space group: P4/mmm, No. 123
* magnetic moment: 0.000 Bohr magnetons per cell

a = 5.4150 Å, b = 5.0143 Å, c = 5.4150 Å
α = 90.00°, β = 90.00°, γ = 90.00°
Closest atoms and distances in Å follow each position.
Positions (direct):
Al 0.0000 0.5000 0.0000  2 Mo 2.51
Mo 0.0000 0.0000 0.0000  2 Al 2.51, 4 Pb 2.71
Pb 0.0000 0.0000 0.5000  2 Mo 2.71
Pb 0.5000 0.0000 0.0000  2 Mo 2.71
K 0.5000 0.5000 0.5000  8 Pb 3.69, 4 Al 3.83